[1]
CsBe3Tl | the Alexandria database | GGA-PBE | optimized geometry; ΔE_f = 1177 meV/atom; space group = Pm-3m; calculated total energy = -1.7022 eV/atom; offset from the most stable computed form = 0.0 kJ/mol of formula units
1.0
4.956 0.000 0.000
0.000 4.956 0.000
0.000 0.000 4.956
Cs Be Tl
1 3 1
Cartesian
2.478 2.478 2.478
0.000 2.478 0.000
0.000 0.000 2.478
2.478 0.000 0.000
0.000 0.000 0.000

=====

[2]
CsKAc | the Alexandria database | GGA-PBE | optimized geometry; ΔE_f = 168 meV/atom; space group = P4/nmm; calculated total energy = -1.8516 eV/atom
1.0
-2.036 2.475 -2.893
-0.249 -3.361 -2.700
-19.265 -5.607 8.759
Cs K Ac
2 2 2
Cartesian
-11.776 -5.072 3.948
-8.632 -0.978 2.015
-16.318 -3.215 5.510
-4.090 -2.835 0.453
-18.286 -6.966 6.908
-2.122 0.916 -0.945

=====

[3]
Ba3MgSb | the Alexandria database | GGA-PBE | optimized geometry; space group = Pm-3m; calculated total energy = -2.5658 eV/atom; E_form (uncorrected) = -1.34 eV/f.u.; offset from the most stable computed form = 0.0 kJ/mol of formula units
1.0
6.690 0.000 0.000
0.000 6.690 0.000
0.000 0.000 6.690
Sb Mg Ba
1 1 3
Cartesian
0.000 0.000 0.000
3.345 3.345 3.345
0.000 3.345 0.000
0.000 0.000 3.345
3.345 0.000 0.000

=====

[4]
BaGdCuTe3 | the Alexandria database | GGA-PBE | optimized geometry; space group = Cmcm; calculated total energy = -6.1825 eV/atom; E_form (uncorrected) = -7.57 eV/f.u.
1.0
-0.794 0.601 -4.357
1.302 -7.645 1.000
-11.278 -1.682 1.824
Gd Te Ba Cu
2 6 2 2
Cartesian
-5.639 -0.841 0.912
0.000 0.000 0.000
-9.908 -6.903 0.854
-2.437 -6.447 -2.739
-5.074 -2.452 -1.706
-0.862 -1.823 -2.387
-5.696 -6.274 0.173
-8.333 -2.279 1.206
-2.366 -4.100 -0.135
-8.404 -4.626 -1.398
-7.613 -8.113 0.271
-3.156 -0.613 -1.804

=====

[5]
BeWCl2 | the Alexandria database | GGA-PBE | optimized geometry; space group = Fm-3m; calculated total energy = -4.0361 eV/atom; E_form (uncorrected) = 4.23 eV/f.u.; offset from the most stable computed form = 477.2 kJ/mol of formula units
1.0
4.067 -0.942 1.093
0.839 -1.839 3.813
1.290 -4.114 0.174
Be W Cl
1 1 2
Cartesian
0.000 0.000 0.000
3.098 -3.448 2.540
1.549 -1.724 1.270
4.647 -5.171 3.810

=====

[6]
Co5HS8 | the Alexandria database | GGA-PBE | optimized geometry; space group = F-43m; calculated total energy = -5.3995 eV/atom
1.0
-4.410 -3.871 -2.945
1.502 -6.246 -1.359
-2.856 -4.868 3.355
Co H S
5 1 8
Cartesian
0.000 0.000 0.000
-2.185 -6.940 -2.243
-3.591 -9.337 -0.591
-1.420 -7.431 0.859
-4.331 -6.262 0.078
-1.441 -3.746 -0.237
-1.513 -8.655 -0.996
-4.262 -7.550 -1.734
-2.212 -5.750 -0.364
-3.540 -8.014 1.196
-3.657 -10.711 -2.402
-2.925 -11.180 0.563
-5.001 -13.001 -0.823
-5.708 -10.062 -0.184

=====

[7]
Y2NpGeN5 | the Alexandria database | GGA-PBE | optimized geometry; space group = Cmc2_1; calculated total energy = -9.0108 eV/atom; E_form (uncorrected) = -8.98 eV/f.u.
1.0
-1.572 -0.255 2.920
-4.307 -3.575 -4.525
5.089 -8.641 1.984
Y Np Ge N
4 2 2 10
Cartesian
-0.561 -9.695 0.745
2.418 -6.872 0.701
0.163 -3.442 -0.213
-3.724 -4.723 -0.523
-1.128 -6.600 0.710
-2.162 -1.626 -1.306
4.091 -8.562 3.348
-2.634 -7.726 -2.093
-3.742 -2.865 -2.265
1.579 -9.094 1.949
-1.061 -10.502 -1.489
0.366 -7.708 -0.477
-2.573 -8.198 -0.207
0.526 -5.487 1.698
-1.189 -5.380 -1.111
0.663 -2.635 2.021
-2.213 -2.969 0.444
-0.266 -0.794 -0.213

=====

[8]
LiCdTeC2 | the Alexandria database | GGA-PBE | optimized geometry; space group = P4/mmm; calculated total energy = -2.8695 eV/atom; E_form (uncorrected) = 10.07 eV/f.u.
1.0
4.216 0.000 0.000
0.000 6.141 0.000
0.000 0.000 4.216
C Te Li Cd
2 1 1 1
Cartesian
0.000 0.000 2.108
2.108 0.000 0.000
0.000 0.000 0.000
2.108 3.070 2.108
0.000 3.070 0.000